[1]
The following is a DFT calculation (PBE) of crystalline Gd2Y5Cd at its relaxed geometry.

Properties
ΔE_f	-0.02	eV/atom
crystal system	orthorhombic

Unit cell a=5.6189 b=7.1152 c=7.1152 alpha=59.99 beta=90.00 gamma=90.00
Last column: nearest neighbours and their distance in Å.
Element x y z (fractional)
Gd  0.5000  0.3303  0.3303  2 Cd 3.47, 10 Y 3.50-3.62
Gd  0.0000  0.6708  0.6708  10 Y 3.45-3.64, 2 Cd 3.56
Y  0.5000  0.3318  0.8383  2 Cd 3.46, 4 Gd 3.50-3.62, 6 Y 3.51-3.60
Y  0.0000  0.1591  0.6706  6 Y 3.45-3.64, 4 Gd 3.47-3.64, 2 Cd 3.55-3.57
Y  0.0000  0.6706  0.1591  6 Y 3.45-3.64, 4 Gd 3.47-3.64, 2 Cd 3.55-3.57
Y  0.5000  0.8335  0.8335  4 Gd 3.45-3.56, 8 Y 3.45-3.56
Y  0.5000  0.8383  0.3318  2 Cd 3.46, 4 Gd 3.50-3.62, 6 Y 3.51-3.60
Cd  0.0000  0.1656  0.1656  8 Y 3.46-3.57, 4 Gd 3.47-3.56

[2]
The following is a DFT calculation (PBE) of crystalline DyEr6Te2Pd2 at its relaxed geometry.

Properties
crystal system	orthorhombic

Unit cell a=9.3789 b=9.3789 c=9.3789 alpha=155.83 beta=67.03 gamma=118.55
Last column: nearest neighbours and their distance in Å.
Element x y z (fractional)
Dy  0.9771  0.4771  0.5000  3 Te 3.21-3.23
Pd  0.6683  0.4063  0.2620  7 Er 2.85-3.18
Pd  0.1442  0.4063  0.7379  7 Er 2.85-3.18
Er  0.2647  0.8940  0.3707  2 Pd 2.86, 3 Te 3.11-3.17
Er  0.5966  0.7414  0.8553  2 Pd 2.91, 2 Te 3.15
Er  0.2836  0.1014  0.1822  3 Pd 2.85-3.18, 1 Te 3.15
Er  0.8861  0.7414  0.1447  2 Pd 2.91, 2 Te 3.15
Er  0.9192  0.1014  0.8178  3 Pd 2.85-3.18, 1 Te 3.15
Er  0.5233  0.8940  0.6293  2 Pd 2.86, 3 Te 3.11-3.17
Te  0.2426  0.2426  0.0000  6 Er 3.15-3.17, 2 Dy 3.21
Te  0.6403  0.1403  0.5000  6 Er 3.11-3.15, 1 Dy 3.23

| no. | DFT total energy (eV/atom) |
| --- | --- |
| 1 | -5.336 |
| 2 | -5.274 |